# Te2SeS

A relaxed structure of Te2SeS (GGA-PBE, Alexandria via LeMat-Bulk).

## Properties
Calculated volume in A^3/atom: 27.596
Polymorph energy (0 for the lowest one) in meV per atom: 309
M_tot in μB/cell: 0.0
Calculated total energy in eV per cell: -12.4
Formation energy (no corrections) in eV/atom: 0.38

```
data_Te2SeS
_cell_length_a 9.3909
_cell_length_b 9.3909
_cell_length_c 9.3909
_cell_angle_alpha 22.94
_cell_angle_beta 22.94
_cell_angle_gamma 22.94
_symmetry_space_group_name_H-M 'P 1'
_symmetry_Int_Tables_number 1
_symmetry_space_group_name_Hall 'P 1'
loop_
_atom_site_label
_atom_site_type_symbol
_atom_site_fract_x
_atom_site_fract_y
_atom_site_fract_z
S1 S 0.5000 0.5000 0.5000
Te1 Te 0.9043 0.9043 0.9043
Te2 Te 0.0957 0.0957 0.0957
Se1 Se 0.0000 0.0000 0.0000
```



# NaSiGeAu2

A relaxed structure of NaSiGeAu2 (GGA-PBE, Alexandria via LeMat-Bulk).

## Properties
Calculated volume in A^3/atom: 24.626
M_tot in μB/cell: 0.0
Calculated total energy in eV per cell: -15.0
Formation energy (no corrections) in eV/atom: 0.58

```
data_NaSiGeAu2
_cell_length_a 4.8422
_cell_length_b 5.2516
_cell_length_c 4.8422
_cell_angle_alpha 90.00
_cell_angle_beta 90.00
_cell_angle_gamma 90.00
_symmetry_space_group_name_H-M 'P 1'
_symmetry_Int_Tables_number 1
_symmetry_space_group_name_Hall 'P 1'
loop_
_atom_site_label
_atom_site_type_symbol
_atom_site_fract_x
_atom_site_fract_y
_atom_site_fract_z
Au1 Au 0.0000 0.0000 0.5000
Si1 Si 0.5000 0.5000 0.5000
Au2 Au 0.5000 0.0000 0.0000
Ge1 Ge 0.0000 0.0000 0.0000
Na1 Na 0.0000 0.5000 0.0000
```



# TlAg2Ru

A relaxed structure of TlAg2Ru (GGA-PBE, Alexandria via LeMat-Bulk).

## Properties
Calculated volume in A^3/atom: 18.600
Polymorph energy (0 for the lowest one) in meV per atom: 82
M_tot in μB/cell: 0.8
Calculated total energy in eV per cell: -15.4
Energy of formation from the pure elements in eV/atom: 0.475

```
data_TlAg2Ru
_cell_length_a 5.0601
_cell_length_b 3.0282
_cell_length_c 4.8582
_cell_angle_alpha 88.09
_cell_angle_beta 90.00
_cell_angle_gamma 90.00
_symmetry_space_group_name_H-M 'P 1'
_symmetry_Int_Tables_number 1
_symmetry_space_group_name_Hall 'P 1'
loop_
_atom_site_label
_atom_site_type_symbol
_atom_site_fract_x
_atom_site_fract_y
_atom_site_fract_z
Ag1 Ag 0.0000 0.9992 0.0104
Tl1 Tl 0.5000 0.7500 0.7500
Ag2 Ag 0.0000 0.5008 0.4896
Ru1 Ru 0.5000 0.2500 0.2500
```



# Hf2BiIr2

A relaxed structure of Hf2BiIr2 (GGA-PBE, Alexandria via LeMat-Bulk).

## Properties
Calculated volume in A^3/atom: 19.816
Polymorph energy (0 for the lowest one) in meV per atom: 0
M_tot in μB/cell: 0.0
Calculated total energy in eV per cell: -89.6
Energy of formation from the pure elements in eV/atom: -0.661

```
data_Hf2BiIr2
_cell_length_a 7.9205
_cell_length_b 7.9205
_cell_length_c 3.1587
_cell_angle_alpha 90.00
_cell_angle_beta 90.00
_cell_angle_gamma 90.00
_symmetry_space_group_name_H-M 'P 1'
_symmetry_Int_Tables_number 1
_symmetry_space_group_name_Hall 'P 1'
loop_
_atom_site_label
_atom_site_type_symbol
_atom_site_fract_x
_atom_site_fract_y
_atom_site_fract_z
Hf1 Hf 0.6537 0.8463 0.5000
Ir1 Ir 0.6330 0.1330 0.0000
Bi1 Bi 0.5000 0.5000 0.0000
Ir2 Ir 0.8670 0.6330 0.0000
Bi2 Bi 0.0000 0.0000 0.0000
Hf2 Hf 0.1537 0.6537 0.5000
Hf3 Hf 0.8463 0.3463 0.5000
Ir3 Ir 0.1330 0.3670 0.0000
Ir4 Ir 0.3670 0.8670 0.0000
Hf4 Hf 0.3463 0.1537 0.5000
```



# Rb2AuF7

A relaxed structure of Rb2AuF7 (GGA-PBE, Alexandria via LeMat-Bulk).

## Properties
Calculated volume in A^3/atom: 18.028
Polymorph energy (0 for the lowest one) in meV per atom: 0
M_tot in μB/cell: 0.0
Calculated total energy in eV per cell: -35.0
Formation energy (no corrections) in eV/atom: -1.67

```
data_Rb2AuF7
_cell_length_a 6.3406
_cell_length_b 6.3406
_cell_length_c 6.3411
_cell_angle_alpha 60.00
_cell_angle_beta 60.00
_cell_angle_gamma 90.00
_symmetry_space_group_name_H-M 'P 1'
_symmetry_Int_Tables_number 1
_symmetry_space_group_name_Hall 'P 1'
loop_
_atom_site_label
_atom_site_type_symbol
_atom_site_fract_x
_atom_site_fract_y
_atom_site_fract_z
Au1 Au 0.0000 0.0000 0.0000
Rb1 Rb 0.2500 0.7500 0.5000
F1 F 0.2231 0.2231 0.0000
Rb2 Rb 0.7500 0.2500 0.5000
F2 F 0.2232 0.2232 0.5535
F3 F 0.7769 0.2231 0.0000
F4 F 0.7768 0.7768 0.4465
F5 F 0.7769 0.7769 0.0000
F6 F 0.2231 0.7769 0.0000
F7 F 0.5000 0.5000 0.0000
```



# ScBeAlCu6

A relaxed structure of ScBeAlCu6 (GGA-PBE, Alexandria via LeMat-Bulk).

## Properties
Calculated volume in A^3/atom: 13.872
M_tot in μB/cell: 0.0
Calculated total energy in eV per cell: -75.5
Energy of formation from the pure elements in eV/atom: 0.069

```
data_ScBeAlCu6
_cell_length_a 6.0763
_cell_length_b 8.1701
_cell_length_c 7.1564
_cell_angle_alpha 124.81
_cell_angle_beta 115.12
_cell_angle_gamma 90.00
_symmetry_space_group_name_H-M 'P 1'
_symmetry_Int_Tables_number 1
_symmetry_space_group_name_Hall 'P 1'
loop_
_atom_site_label
_atom_site_type_symbol
_atom_site_fract_x
_atom_site_fract_y
_atom_site_fract_z
Cu1 Cu 0.6732 0.3859 0.7524
Cu2 Cu 0.0791 0.8664 0.7524
Cu3 Cu 0.0081 0.7581 0.0162
Be1 Be 0.5000 0.5000 0.0000
Cu4 Cu 0.9209 0.1336 0.2476
Cu5 Cu 0.3268 0.1336 0.2476
Be2 Be 0.5000 0.0000 0.0000
Cu6 Cu 0.6732 0.8664 0.7524
Al1 Al 0.5000 0.0000 0.5000
Cu7 Cu 0.9919 0.2419 0.9838
Al2 Al 0.0000 0.0000 0.5000
Cu8 Cu 0.5568 0.8068 0.1136
Cu9 Cu 0.0791 0.3859 0.7524
Sc1 Sc 0.7149 0.4649 0.4299
Cu10 Cu 0.3268 0.6141 0.2476
Cu11 Cu 0.4432 0.1932 0.8864
Sc2 Sc 0.2851 0.5351 0.5701
Cu12 Cu 0.9209 0.6141 0.2476
```



# AcTl2ReO6

A relaxed structure of AcTl2ReO6 (GGA-PBE, Alexandria via LeMat-Bulk).

## Properties
Calculated volume in A^3/atom: 16.863
M_tot in μB/cell: 0.0
Calculated total energy in eV per cell: -138.2
Formation energy (no corrections) in eV/atom: -1.80

```
data_AcTl2ReO6
_cell_length_a 6.2585
_cell_length_b 6.1609
_cell_length_c 8.7487
_cell_angle_alpha 90.00
_cell_angle_beta 91.17
_cell_angle_gamma 90.00
_symmetry_space_group_name_H-M 'P 1'
_symmetry_Int_Tables_number 1
_symmetry_space_group_name_Hall 'P 1'
loop_
_atom_site_label
_atom_site_type_symbol
_atom_site_fract_x
_atom_site_fract_y
_atom_site_fract_z
O1 O 0.2157 0.7175 0.0241
Ac1 Ac 0.0000 0.5000 0.5000
O2 O 0.9604 0.5000 0.2152
Tl1 Tl 0.4906 0.4996 0.2543
O3 O 0.2880 0.7786 0.4763
O4 O 0.2843 0.2175 0.4759
O5 O 0.7120 0.2214 0.5237
Re1 Re 0.5000 0.0000 0.5000
O6 O 0.2120 0.2786 0.0237
O7 O 0.5396 0.0000 0.2848
Ac2 Ac 0.5000 0.0000 0.0000
Tl2 Tl 0.0094 0.9996 0.2457
Tl3 Tl 0.9906 0.0004 0.7543
O8 O 0.0396 0.5000 0.7848
O9 O 0.7843 0.2825 0.9759
O10 O 0.4604 0.0000 0.7152
O11 O 0.7880 0.7214 0.9763
Tl4 Tl 0.5094 0.5004 0.7457
O12 O 0.7157 0.7825 0.5241
Re2 Re 0.0000 0.5000 0.0000
```



# Ca2AsH

A relaxed structure of Ca2AsH (GGA-PBE, Alexandria via LeMat-Bulk).

## Properties
Calculated volume in A^3/atom: 26.706
Polymorph energy (0 for the lowest one) in meV per atom: 330
M_tot in μB/cell: 0.0
Calculated total energy in eV per cell: -29.0

```
data_Ca2AsH
_cell_length_a 5.6947
_cell_length_b 5.6947
_cell_length_c 7.7210
_cell_angle_alpha 68.36
_cell_angle_beta 68.36
_cell_angle_gamma 90.00
_symmetry_space_group_name_H-M 'P 1'
_symmetry_Int_Tables_number 1
_symmetry_space_group_name_Hall 'P 1'
loop_
_atom_site_label
_atom_site_type_symbol
_atom_site_fract_x
_atom_site_fract_y
_atom_site_fract_z
Ca1 Ca 0.1770 0.6250 0.2500
H1 H 0.2500 0.7500 0.5000
Ca2 Ca 0.8750 0.8230 0.7500
Ca3 Ca 0.5730 0.1250 0.2500
As1 As 0.7500 0.2500 0.5000
As2 As 0.0000 0.0000 0.0000
H2 H 0.5000 0.5000 0.0000
Ca4 Ca 0.3750 0.4270 0.7500
```



Q: Which formula does entry 3 have?
A: TlAg2Ru



Q: Which formula does entry 6 have?
A: ScBeAlCu6



Q: What is the calculated volume in the first record?
A: 27.596 A^3/atom